This record from the Alexandria database describes crystalline K2AgIF6 at its relaxed geometry. The functional is PBE.

It has space group P-1 (No. 2), with a = 5.2254 Å, b = 6.7318 Å, c = 7.1520 Å, α = 111.45°, β = 93.35° and γ = 112.09°. Symmetry generates all atoms from K at (0.2128, 0.4288, 0.1701), Ag at (0.5000, 0.0000, 0.0000), I at (0.0000, 0.0000, 0.5000), F at (0.0597, 0.9921, 0.2146), F at (0.2037, 0.7911, 0.4892) and F at (0.3244, 0.6311, 0.9163).

The total energy comes out at -3.684 eV per atom. The value obtained for the formation energy (no corrections) is -1.9017 eV per atom.


This record from the Alexandria database describes crystalline TiPOsS2 at its relaxed geometry. The functional is PBE.

It has space group P4/mmm (No. 123), with a = 4.5323 Å, b = 4.5323 Å, c = 4.8418 Å, α = 90.00°, β = 90.00° and γ = 90.00°. Symmetry generates all atoms from Ti at (0.0000, 0.0000, 0.0000), P at (0.0000, 0.0000, 0.5000), Os at (0.5000, 0.5000, 0.5000) and S at (0.0000, 0.5000, 0.0000).

The total energy comes out at -5.669 eV per atom. The value obtained for the formation energy (no corrections) is 0.8887 eV per atom. For the polymorph energy (0 for the lowest one), the calculation gives 281 meV/atom.


This record from the Alexandria database describes crystalline KDyCdI6 at its relaxed geometry. The functional is PBE.

It has space group P-31c (No. 163), with a = 7.8217 Å, b = 7.8217 Å, c = 15.6934 Å, α = 90.00°, β = 90.00° and γ = 120.00°. Symmetry generates all atoms from K at (0.0000, 0.0000, 0.0000), Dy at (0.3333, 0.6667, 0.2500), Cd at (0.3333, 0.6667, 0.7500) and I at (0.0006, 0.3688, 0.6378).

The total energy comes out at -2.897 eV per atom. The value obtained for the formation energy (no corrections) is -1.1288 eV per atom.


This record from the Alexandria database describes crystalline Nd6P2HS3 at its relaxed geometry. The functional is PBE.

It has space group C2/m (No. 12), with a = 17.7126 Å, b = 4.1058 Å, c = 8.1067 Å, α = 90.00°, β = 103.80° and γ = 90.00°. Symmetry generates all atoms from Nd at (0.0004, 0.0000, 0.2433), Nd at (0.1681, 0.5000, 0.5868), Nd at (0.1689, 0.5000, 0.0800), P at (0.1636, 0.0000, 0.8283), H at (0.0000, 0.5000, 0.5000), S at (0.0000, 0.5000, 0.0000) and S at (0.1675, 0.0000, 0.3346).

The total energy comes out at -6.188 eV per atom.


This record from the Alexandria database describes crystalline TlOsBr at its relaxed geometry. The functional is PBE.

It has space group P3m1 (No. 156), with a = 3.1378 Å, b = 3.1378 Å, c = 8.0468 Å, α = 90.00°, β = 90.00° and γ = 120.00°. Symmetry generates all atoms from Tl at (0.0000, 0.0000, 0.0000), Os at (0.6667, 0.3333, 0.6882) and Br at (0.3333, 0.6667, 0.4570).

The total energy comes out at -4.131 eV per atom. The value obtained for the formation energy (no corrections) is 0.9587 eV per atom. For the polymorph energy (0 for the lowest one), the calculation gives 0 meV/atom.


This record from the Alexandria database describes crystalline HoPu2Sc at its relaxed geometry. The functional is PBE.

It has space group P4/mmm (No. 123), with a = 3.3051 Å, b = 3.3051 Å, c = 9.8487 Å, α = 90.00°, β = 90.00° and γ = 90.00°. Symmetry generates all atoms from Ho at (0.0000, 0.0000, 0.0000), Pu at (0.5000, 0.5000, 0.2608) and Sc at (0.0000, 0.0000, 0.5000).

The total energy comes out at -9.729 eV per atom. For the polymorph energy (0 for the lowest one), the calculation gives 4 meV/atom.